VASP calculation (PBE) on Dy2Y3Mg3 after structural relaxation.

## Properties
ΔE_f ... -78 meV per atom
Total moment ... 0.00 Bohr magnetons per cell
Final energy ... -34.0 eV/cell

Cell and atoms, written as POSCAR:
```
Dy2Y3Mg3
1.0
3.7110 0.0000 -0.5976
-0.2043 5.2740 -1.2683
-0.0206 0.0174 11.6919
Y Mg Dy
3 3 2
direct
0.6250 0.6250 0.2500
0.3750 0.3750 0.7500
0.5000 0.0000 0.0000
0.8835 0.8835 0.7671
0.0000 0.5000 0.0000
0.1165 0.1165 0.2329
0.2653 0.7653 0.5306
0.7347 0.2347 0.4694
```